A relaxed SiAsSe crystal. Source: Alexandria via LeMat-Bulk, functional GGA-PBE.

Volume in Å³/cell: 58
D(E_F) in states/eV per cell: 1.4
ΔE_f (raw) in meV/atom: 341
Mass density in g/cm3: 5.2

a = 4.9901 Å, b = 4.9901 Å, c = 2.6923 Å
α = 90.00°, β = 90.00°, γ = 120.00°
Closest atoms and distances in Å follow each position.
Space group P-6m2 (No. 187)
Symmetry-distinct sites (fractional):
Si (0.0000, 0.0000, 0.0000) [1 per cell]  2 Si 2.69, 3 As 2.88, 3 Se 2.88
As (0.6667, 0.3333, 0.0000) [1 per cell]  2 As 2.69, 3 Si 2.88, 3 Se 2.88
Se (0.3333, 0.6667, 0.0000) [1 per cell]  2 Se 2.69, 3 Si 2.88, 3 As 2.88